## NbAs3Cl (PBE)

Data for NbAs3Cl after structural relaxation.

CIF file:
```
data_NbAs3Cl
_symmetry_space_group_name_H-M 'P m -3 m'
_symmetry_Int_Tables_number 221
_symmetry_space_group_name_Hall '-P 4 2 3'
_cell_length_a 4.743
_cell_length_b 4.743
_cell_length_c 4.743
_cell_angle_alpha 90.00
_cell_angle_beta 90.00
_cell_angle_gamma 90.00
loop_
_atom_site_label
_atom_site_fract_x
_atom_site_fract_y
_atom_site_fract_z
Nb1 0.000 0.000 0.000
As1 0.000 0.500 0.500
Cl1 0.500 0.500 0.500
```

Results
As for the total magnetization: 0.311 μB/atom. The total DFT energy (no corrections) is -4.0602 eV per atom. The value obtained for the offset from the most stable computed form is 0.944 eV per atom. Its density is 5.49 Mg/m³. Its uncorrected formation energy is 5.56 eV per formula unit.

---

## Cr2RuRh (PBE)

Data for Cr2RuRh after structural relaxation.

CIF file:
```
data_Cr2RuRh
_symmetry_space_group_name_H-M 'P 4/m m m'
_symmetry_Int_Tables_number 123
_symmetry_space_group_name_Hall '-P 4 2'
_cell_length_a 3.042
_cell_length_b 3.042
_cell_length_c 5.915
_cell_angle_alpha 90.00
_cell_angle_beta 90.00
_cell_angle_gamma 90.00
loop_
_atom_site_label
_atom_site_fract_x
_atom_site_fract_y
_atom_site_fract_z
Cr1 0.000 0.000 0.248
Ru1 0.500 0.500 0.000
Rh1 0.500 0.500 0.500
```

Results
As for the total magnetization: 1.299 μB/atom. The total DFT energy (no corrections) is -8.8455 eV per atom. Its density is 9.34 Mg/m³. The value obtained for the formation energy is 0.1230 eV per atom.

---

## ZrAlAg (PBE)

Data for ZrAlAg after structural relaxation.

CIF file:
```
data_ZrAlAg
_symmetry_space_group_name_H-M 'P m m m'
_symmetry_Int_Tables_number 47
_symmetry_space_group_name_Hall '-P 2 2'
_cell_length_a 3.128
_cell_length_b 4.531
_cell_length_c 8.002
_cell_angle_alpha 90.00
_cell_angle_beta 90.00
_cell_angle_gamma 90.00
loop_
_atom_site_label
_atom_site_fract_x
_atom_site_fract_y
_atom_site_fract_z
Zr1 0.000 0.000 0.000
Zr2 0.000 0.500 0.500
Al1 0.500 0.000 0.334
Ag1 0.500 0.500 0.171
```

Results
As for the total magnetization: 0.000 μB/atom. The total DFT energy (no corrections) is -5.3164 eV per atom. Its density is 6.62 Mg/m³. The value obtained for the formation energy is -0.2691 eV per atom.

---

## KBi2Pb (PBE)

Data for KBi2Pb after structural relaxation.

CIF file:
```
data_KBi2Pb
_symmetry_space_group_name_H-M 'P n m a'
_symmetry_Int_Tables_number 62
_symmetry_space_group_name_Hall '-P 2ac 2n'
_cell_length_a 8.444
_cell_length_b 5.403
_cell_length_c 13.007
_cell_angle_alpha 90.00
_cell_angle_beta 90.00
_cell_angle_gamma 90.00
loop_
_atom_site_label
_atom_site_fract_x
_atom_site_fract_y
_atom_site_fract_z
K1 0.241 0.250 0.155
Bi1 0.061 0.250 0.862
Bi2 0.247 0.750 0.938
Pb1 0.049 0.750 0.373
```

Results
As for the total magnetization: 0.000 μB/atom. The total DFT energy (no corrections) is -3.3027 eV per atom. Its density is 7.44 Mg/m³. The value obtained for the formation energy is -0.1607 eV per atom.

---

## Ca3Ge2Pd2 (PBE)

Data for Ca3Ge2Pd2 after structural relaxation.

CIF file:
```
data_Ca3Ge2Pd2
_symmetry_space_group_name_H-M 'P b c m'
_symmetry_Int_Tables_number 57
_symmetry_space_group_name_Hall '-P 2c 2b'
_cell_length_a 5.670
_cell_length_b 8.197
_cell_length_c 13.566
_cell_angle_alpha 90.00
_cell_angle_beta 90.00
_cell_angle_gamma 90.00
loop_
_atom_site_label
_atom_site_fract_x
_atom_site_fract_y
_atom_site_fract_z
Ca1 0.137 0.112 0.104
Ca2 0.354 0.746 0.750
Ge1 0.154 0.096 0.750
Ge2 0.366 0.750 0.000
Pd1 0.376 0.032 0.589
```

Results
As for the total magnetization: 0.000 μB/atom. The total DFT energy (no corrections) is -4.4422 eV per atom. Its density is 5.04 Mg/m³. The value obtained for the formation energy is -0.7814 eV per atom.

---

| no. | Fermi-level density of states (states/eV/cell) |
| --- | --- |
| 1 | 3.08 |
| 2 | 6.01 |
| 3 | 4.79 |
| 4 | 4.63 |
| 5 | 13.27 |